# CuAuI2

CuAuI2 after structural relaxation (PBE-GGA, the Alexandria database).

Unit cell a=7.479 b=7.479 c=4.743 alpha=95.32 beta=95.32 gamma=30.59
Fractional positions:
Cu1 0.000 0.000 0.000
Au1 0.500 0.500 0.500
I1 0.366 0.366 0.836
I2 0.634 0.634 0.164

Computed properties:
energy relative to the lowest polymorph listed for this composition: 86 meV/atom
formation energy without anion corrections: 31 meV/atom